Entry from Alexandria via LeMat-Bulk: a relaxed BaSbMo2Ir crystal (PBE).

abc: 5.1848 5.1848 5.0822
angles: 90.00 90.00 90.00
Closest atoms and distances in Å follow each position.
Space group P4/mmm (No. 123)
One atom of each set of equivalent atoms:
Ba  0.0000  0.0000  0.0000  2 Ir 2.54, 4 Mo 2.59
Sb  0.5000  0.5000  0.5000  8 Mo 3.63, 4 Ir 3.67
Mo  0.0000  0.5000  0.0000  2 Ba 2.59
Ir  0.0000  0.0000  0.5000  2 Ba 2.54

=====

Entry from Alexandria via LeMat-Bulk: a relaxed BaSiMo2Ir crystal (PBE).

abc: 4.9224 4.9224 5.0666
angles: 90.00 90.00 90.00
Closest atoms and distances in Å follow each position.
Space group P4/mmm (No. 123)
One atom of each set of equivalent atoms:
Ba  0.0000  0.0000  0.0000  4 Mo 2.46, 2 Si 2.53
Si  0.0000  0.0000  0.5000  2 Ba 2.53
Mo  0.0000  0.5000  0.0000  2 Ba 2.46
Ir  0.5000  0.5000  0.5000  4 Si 3.48, 8 Mo 3.53

=====

Entry from Alexandria via LeMat-Bulk: a relaxed Ba3IrN crystal (PBE).

abc: 5.3902 5.3902 5.3902
angles: 90.00 90.00 90.00
Closest atoms and distances in Å follow each position.
Space group Pm-3m (No. 221)
One atom of each set of equivalent atoms:
Ba  0.0000  0.0000  0.5000  2 N 2.70
Ir  0.5000  0.5000  0.5000  12 Ba 3.81
N  0.0000  0.0000  0.0000  6 Ba 2.70

=====

Entry from Alexandria via LeMat-Bulk: a relaxed Ba2IrN crystal (PBE).

abc: 11.4177 11.4177 3.8198
angles: 90.00 90.00 90.00
Closest atoms and distances in Å follow each position.
Space group I-42d (No. 122)
One atom of each set of equivalent atoms:
Ba  0.0481  0.2500  0.1250  2 N 2.95, 2 Ir 3.24
Ir  0.0000  0.0000  0.5000  2 N 1.91
N  0.0000  0.0000  0.0000  2 Ir 1.91

=====

Entry from Alexandria via LeMat-Bulk: a relaxed Ba4IrN4 crystal (PBE).

abc: 6.9691 7.4625 9.8115
angles: 68.12 74.25 68.10
Closest atoms and distances in Å follow each position.
Space group P-1 (No. 2)
One atom of each set of equivalent atoms:
Ba  0.0456  0.2350  0.3626  3 N 2.63-2.82
Ba  0.1106  0.8075  0.1577  6 N 2.86-3.17
Ba  0.3133  0.3070  0.9753  4 N 2.72-2.96
Ba  0.4446  0.2312  0.5579  3 N 2.68-2.93
Ir  0.3300  0.8011  0.7901  4 N 1.85-2.02
N  0.0704  0.7397  0.8996  1 Ir 1.96
N  0.2117  0.9923  0.6030  1 Ir 2.02
N  0.3392  0.0016  0.8688  1 Ir 1.95
N  0.4265  0.4072  0.2295  1 Ir 1.85

=====

Entry from Alexandria via LeMat-Bulk: a relaxed Ba3Ir3N5 crystal (PBE).

abc: 7.1543 8.0213 9.0728
angles: 67.23 67.27 79.95
Closest atoms and distances in Å follow each position.
Space group P-1 (No. 2)
One atom of each set of equivalent atoms:
Ba  0.9997  0.2008  0.2493  3 N 2.81-2.90
Ba  0.2472  0.6494  0.3526  4 N 2.74-3.01
Ba  0.4019  0.9301  0.8625  5 N 2.68-2.97
Ir  0.1383  0.3314  0.8256  3 N 1.91-2.00
Ir  0.2892  0.1855  0.4679  3 N 1.84-1.89
Ir  0.3364  0.5108  0.9189  3 N 1.86-2.08
N  0.1298  0.5711  0.0941  2 Ir 1.86-1.91
N  0.1434  0.1990  0.6869  2 Ir 1.89-1.92
N  0.2629  0.9863  0.4170  1 Ir 1.88
N  0.3727  0.2527  0.9076  2 Ir 2.00-2.08
N  0.4685  0.3527  0.2902  2 Ir 1.84-1.90

=====

Entry from Alexandria via LeMat-Bulk: a relaxed Ba2IrN3 crystal (PBE).

abc: 6.0396 12.0204 13.0410
angles: 90.00 90.00 90.00
Closest atoms and distances in Å follow each position.
Space group Cmce (No. 64)
One atom of each set of equivalent atoms:
Ba  0.0000  0.0591  0.1433  5 N 2.79-3.03
Ba  0.0000  0.1375  0.5793  5 N 2.69-2.95
Ir  0.0000  0.2417  0.3377  4 N 1.89-2.00
N  0.0000  0.0774  0.3621  1 Ir 2.00
N  0.0000  0.1611  0.9515  1 Ir 1.89
N  0.2500  0.2382  0.7500  2 Ir 1.91

=====

Entry from Alexandria via LeMat-Bulk: a relaxed Ba8IrN2 crystal (PBE).

abc: 14.9385 10.3501 7.3882
angles: 90.00 90.65 90.00
Closest atoms and distances in Å follow each position.
Space group C2/m (No. 12)
One atom of each set of equivalent atoms:
Ba  0.1061  0.1878  0.2667  1 N 2.57
Ba  0.1510  0.5000  0.7761  1 N 2.43
Ba  0.1657  0.0000  0.7817  1 N 2.57
Ir  0.0000  0.0000  0.5000  6 Ba 3.05-3.22
N  0.1930  0.0000  0.1254  4 Ba 2.43-2.57

=====

Entry from Alexandria via LeMat-Bulk: a relaxed BaIrN2 crystal (PBE).

abc: 6.1032 13.5266 7.6610
angles: 90.00 90.00 90.00
Closest atoms and distances in Å follow each position.
Space group Cmce (No. 64)
One atom of each set of equivalent atoms:
Ba  0.0000  0.1397  0.0827  6 N 2.78-3.10
Ir  0.0000  0.0879  0.6341  3 N 1.80-1.90
N  0.0000  0.1693  0.4478  1 Ir 1.80
N  0.2500  0.0355  0.7500  2 Ir 1.90

=====

Entry from Alexandria via LeMat-Bulk: a relaxed Ba2IrN crystal (PBE).

abc: 5.7729 5.7729 3.8131
angles: 90.00 90.00 90.00
Closest atoms and distances in Å follow each position.
Space group P4/mmm (No. 123)
One atom of each set of equivalent atoms:
Ba  0.0000  0.5000  0.0000  2 N 2.89
Ir  0.0000  0.0000  0.5000  2 N 1.91
N  0.0000  0.0000  0.0000  2 Ir 1.91

=====

Entry from Alexandria via LeMat-Bulk: a relaxed Ba2IrN crystal (PBE).

abc: 7.6298 7.6298 8.2230
angles: 90.00 90.00 90.00
Closest atoms and distances in Å follow each position.
Space group I-42d (No. 122)
One atom of each set of equivalent atoms:
Ba  0.1977  0.7500  0.1250  2 N 2.64
Ir  0.0000  0.0000  0.5000  4 Ba 3.16
N  0.0000  0.0000  0.0000  4 Ba 2.64

=====

Entry from Alexandria via LeMat-Bulk: a relaxed Ba2IrN2 crystal (PBE).

abc: 4.2282 4.2282 12.9524
angles: 90.00 90.00 90.00
Closest atoms and distances in Å follow each position.
Space group I4/mmm (No. 139)
One atom of each set of equivalent atoms:
Ba  0.0000  0.0000  0.1408  5 N 2.80-2.99
Ir  0.0000  0.0000  0.5000  2 N 1.85
N  0.0000  0.0000  0.3571  1 Ir 1.85

=====

Entry from Alexandria via LeMat-Bulk: a relaxed Ba3IrN3 crystal (PBE).

abc: 8.1841 8.1841 5.6594
angles: 90.00 90.00 120.00
Closest atoms and distances in Å follow each position.
Space group P6_3/m (No. 176)
One atom of each set of equivalent atoms:
Ba  0.0994  0.3640  0.2500  5 N 2.87-2.99
Ir  0.3333  0.6667  0.7500  3 N 1.89
N  0.1129  0.4270  0.7500  1 Ir 1.89

=====

Entry from Alexandria via LeMat-Bulk: a relaxed BaIrN2 crystal (PBE).

abc: 6.1729 6.1729 6.1729
angles: 90.00 90.00 90.00
Closest atoms and distances in Å follow each position.
Space group Fm-3m (No. 225)
One atom of each set of equivalent atoms:
Ba  0.0000  0.0000  0.0000  8 N 2.67
Ir  0.0000  0.0000  0.5000  8 N 2.67
N  0.2500  0.2500  0.2500  4 Ba 2.67, 4 Ir 2.67

=====

Entry from Alexandria via LeMat-Bulk: a relaxed BaIrN2 crystal (PBE).

abc: 5.2340 5.2340 10.5407
angles: 90.00 90.00 90.00
Closest atoms and distances in Å follow each position.
Space group I-42d (No. 122)
One atom of each set of equivalent atoms:
Ba  0.0000  0.0000  0.0000  4 N 2.72
Ir  0.0000  0.0000  0.5000  4 N 1.96
N  0.1205  0.2500  0.6250  2 Ir 1.96

=====

Entry from Alexandria via LeMat-Bulk: a relaxed BaIrN2 crystal (PBE).

abc: 4.2163 4.2163 18.7037
angles: 90.00 90.00 120.00
Closest atoms and distances in Å follow each position.
Space group R-3m (No. 166, hexagonal axes)
One atom of each set of equivalent atoms:
Ba  0.0000  0.0000  0.0000  6 N 2.78
Ir  0.0000  0.0000  0.5000  2 N 1.78
N  0.0000  0.0000  0.4048  1 Ir 1.78

=====

Entry from Alexandria via LeMat-Bulk: a relaxed Ba6Na2IrN crystal (PBE).

abc: 8.3033 8.3033 12.9904
angles: 90.00 90.00 90.00
Closest atoms and distances in Å follow each position.
Space group I4mm (No. 107)
One atom of each set of equivalent atoms:
Ba  0.0000  0.0000  0.0000  1 N 2.61
Ba  0.0000  0.0000  0.4801  1 Ir 2.86
Ba  0.2329  0.2329  0.7518  1 N 2.80, 1 Ir 3.14
Na  0.0000  0.5000  0.0037  12 Ba 4.15-4.40
Ir  0.0000  0.0000  0.2596  5 Ba 2.86-3.14
N  0.0000  0.0000  0.7989  5 Ba 2.61-2.80

=====

Entry from Alexandria via LeMat-Bulk: a relaxed Ba2NaIrN2 crystal (PBE).

abc: 6.7732 8.6274 4.9059
angles: 90.00 90.00 90.00
Closest atoms and distances in Å follow each position.
Space group Pnnm (No. 58)
One atom of each set of equivalent atoms:
Ba  0.1032  0.2475  0.0000  3 N 2.75-3.00
Na  0.0000  0.5000  0.5000  4 N 3.05, 4 Ba 3.35
Ir  0.0000  0.0000  0.5000  2 N 1.89
N  0.2438  0.5871  0.0000  1 Ir 1.89

=====

Entry from Alexandria via LeMat-Bulk: a relaxed Ba2NaIrN crystal (PBE).

abc: 5.9640 5.9640 3.8501
angles: 90.00 90.00 90.00
Closest atoms and distances in Å follow each position.
Space group P4/mmm (No. 123)
One atom of each set of equivalent atoms:
Ba  0.0000  0.5000  0.0000  2 N 2.98
Na  0.0000  0.0000  0.5000  8 Ba 3.55, 2 Na 3.85
Ir  0.5000  0.5000  0.5000  2 N 1.93
N  0.5000  0.5000  0.0000  2 Ir 1.93

=====

Entry from Alexandria via LeMat-Bulk: a relaxed BaNbIr2N crystal (PBE).

abc: 5.0844 5.0844 5.3658
angles: 90.00 90.00 90.00
Closest atoms and distances in Å follow each position.
Space group P4/mmm (No. 123)
One atom of each set of equivalent atoms:
Ba  0.0000  0.0000  0.0000  4 Ir 2.54, 2 Nb 2.68
Nb  0.0000  0.0000  0.5000  2 Ba 2.68
Ir  0.0000  0.5000  0.0000  2 Ba 2.54
N  0.5000  0.5000  0.5000  4 Nb 3.60, 8 Ir 3.70

=====

Number 1: energy -0.333 Ry/atom, formation energy (no corrections) 2.78 eV per atom, M_tot 5.44 μB per formula unit. Number 2: energy -0.315 Ry/atom, formation energy (no corrections) 3.29 eV per atom, M_tot 0.94 μB per formula unit. Number 3: energy -0.333 Ry/atom, formation energy (no corrections) 0.06 eV per atom, M_tot 0.00 μB per formula unit. Number 4: energy -0.419 Ry/atom, formation energy (no corrections) -0.44 eV per atom, M_tot 0.00 μB per formula unit. Number 5: energy -0.427 Ry/atom, formation energy (no corrections) -0.27 eV per atom, M_tot 0.00 μB per formula unit. Number 6: energy -0.506 Ry/atom, formation energy (no corrections) -0.16 eV per atom, M_tot 0.01 μB per formula unit. Number 7: energy -0.476 Ry/atom, formation energy (no corrections) -0.20 eV per atom, M_tot 0.00 μB per formula unit. Number 8: energy -0.290 Ry/atom, formation energy (no corrections) -0.22 eV per atom, M_tot 0.00 μB per formula unit. Number 9: energy -0.511 Ry/atom, formation energy (no corrections) -0.10 eV per atom, M_tot 0.73 μB per formula unit. Number 10: energy -0.420 Ry/atom, formation energy (no corrections) -0.46 eV per atom, M_tot 0.00 μB per formula unit. Number 11: energy -0.349 Ry/atom, formation energy (no corrections) 0.52 eV per atom, M_tot 2.00 μB per formula unit. Number 12: energy -0.466 Ry/atom, formation energy (no corrections) -0.46 eV per atom, M_tot 0.00 μB per formula unit. Number 13: energy -0.447 Ry/atom, formation energy (no corrections) -0.42 eV per atom, M_tot 0.00 μB per formula unit. Number 14: energy -0.406 Ry/atom, formation energy (no corrections) 1.34 eV per atom, M_tot 0.00 μB per formula unit. Number 15: energy -0.498 Ry/atom, formation energy (no corrections) 0.08 eV per atom, M_tot 0.00 μB per formula unit. Number 16: energy -0.483 Ry/atom, formation energy (no corrections) 0.29 eV per atom, M_tot 0.00 μB per formula unit. Number 17: energy -0.239 Ry/atom, formation energy (no corrections) -0.12 eV per atom, M_tot 0.00 μB per formula unit. Number 18: energy -0.389 Ry/atom, formation energy (no corrections) -0.17 eV per atom, M_tot 0.00 μB per formula unit. Number 19: energy -0.350 Ry/atom, formation energy (no corrections) -0.29 eV per atom, M_tot 0.00 μB per formula unit. Number 20: energy -0.279 Ry/atom, formation energy (no corrections) 3.82 eV per atom, M_tot 3.26 μB per formula unit.